ZnGa2I: relaxed, PBE-GGA.

Lattice parameters (Å, degrees): 6.0967 6.0967 8.1141 67.93 67.93 90.00
Closest atoms and distances in Å follow each position.
Fractional positions:
Ga  0.8750  0.7856  0.7500  2 Zn 2.50
Zn  0.2500  0.7500  0.5000  4 Ga 2.50
Ga  0.2144  0.6250  0.2500  2 Zn 2.50
I  0.7500  0.2500  0.5000  4 Ga 3.09
I  0.0000  0.0000  0.0000  4 Ga 3.09
Ga  0.5356  0.1250  0.2500  2 Zn 2.50
Zn  0.5000  0.5000  0.0000  4 Ga 2.50
Ga  0.3750  0.4644  0.7500  2 Zn 2.50

- Symmetry: I-42d (122)
- DOS(E_F): 4.92 states/eV per cell
- ΔE to the lowest computed polymorph: 0.0 meV per atom
- Uncorrected formation energy: 113 meV/atom